First-principles (PBE-GGA) data for BeAgTePb2 after structural relaxation, as listed in Alexandria via LeMat-Bulk.

Results
- N(E_F): 2.20 states/eV/cell
- Energy relative to the elements, uncorrected: 0.386 eV per atom
- Energy: -15.21 eV per cell

Cell and atoms, written as POSCAR:
```
BeAgTePb2
1.0
-2.859 -4.781 -0.881
3.490 -1.689 -2.156
1.988 -2.083 4.850
Ag Pb Te Be
1 2 1 1
direct
0.000 0.000 0.000
0.500 0.000 0.000
0.000 0.000 0.500
0.500 0.500 0.500
0.000 0.500 0.000
```

First-principles (PBE-GGA) data for PaTlTe2 after structural relaxation, as listed in Alexandria via LeMat-Bulk.

Results
- N(E_F): 7.75 states/eV/cell
- Energy relative to the elements, uncorrected: -0.367 eV per atom
- Energy: -19.61 eV per cell

Cell and atoms, written as POSCAR:
```
PaTlTe2
1.0
-5.029 1.154 1.863
-2.965 -3.891 2.481
-0.927 0.282 5.399
Te Pa Tl
2 1 1
direct
0.250 0.250 0.250
0.750 0.750 0.750
0.000 0.000 0.000
0.500 0.500 0.500
```

Question: The lowest energy belongs to which entry?
Answer: PaTlTe2

Question: The highest energy relative to the elements, uncorrected belongs to which entry?
Answer: BeAgTePb2

Question: Which value of energy relative to the elements, uncorrected does entry 1 give?
Answer: 0.386 eV per atom